Entry from Alexandria: a relaxed structure of V2OsRuC (GGA-PBE).

Cell lengths 3.975, 3.938, 3.975 Å; angles 90.00, 90.00, 90.00 degrees
Positions (direct):
Ru1 0.000 0.500 0.000
C1 0.000 0.000 0.000
Os1 0.500 0.500 0.500
V1 0.000 0.000 0.500
V2 0.500 0.000 0.000

Output
The value obtained for the total energy is -48.24 eV/cell. As for the density of states at the Fermi level: 4.99 states/eV/cell. Its energy of formation is -0.0544 eV/atom. The energy relative to the lowest polymorph listed for this composition comes out at 0.13 eV per formula unit. Its total magnetization is 0.0 Bohr magnetons per cell. The symmetry is P4/mmm (123).